No. 1
An optimized crystal structure of Rb3Th2PaTe6. Source: Alexandria, functional PBE.

## Properties
Total DFT energy (no corrections), eV/atom: -4.911
Raw formation energy, meV per atom: -1071
DOS(E_F), states/eV per atom: 0.970

Cell: 7.7580 13.4344 9.1960 Å, 90.00 106.32 90.00°
Space group C2/m (No. 12)
Asymmetric unit:
Rb  0.0000  0.0000  0.0000
Rb  0.0000  0.3316  0.0000
Th  0.0000  0.1661  0.5000
Pa  0.0000  0.5000  0.5000
Te  0.2344  0.3351  0.7093
Te  0.2409  0.0000  0.7104



No. 2
An optimized crystal structure of Rb3Th3PaTe8. Source: Alexandria, functional PBE.

## Properties
Total DFT energy (no corrections), eV/atom: -5.094
Raw formation energy, meV per atom: -1108
DOS(E_F), states/eV per atom: 0.935

Cell: 8.8956 8.8956 26.9182 Å, 90.00 90.00 120.00°
Space group R-3m (No. 166, hexagonal axes)
Asymmetric unit:
Rb  0.0000  0.5000  0.0000
Th  0.0000  0.5000  0.5000
Pa  0.0000  0.0000  0.5000
Te  0.0000  0.0000  0.2369
Te  0.0023  0.5011  0.2353